Run i
6
Lattice="3.765 0.000 0.000 0.000 3.765 0.000 0.000 0.000 12.440" Properties=species:S:1:pos:R:3 comment="La3DyZn2, relaxed, DFT GGA-PBE" m_tot_mub_per_atom=0.0001 sg="P4/mmm (123)" pbc="T T T"
La 0.000 0.000 0.000
La 0.000 0.000 3.701
La 0.000 0.000 8.739
Dy 1.883 1.883 6.220
Zn 1.883 1.883 1.896
Zn 1.883 1.883 10.544

Run ii
12
Lattice="5.307 0.000 0.000 0.000 9.545 0.000 0.000 0.000 6.809" Properties=species:S:1:pos:R:3 comment="La3DyZn2, relaxed, DFT GGA-PBE" m_tot_mub_per_atom=0.0000 sg="Pmc2_1 (26)" pbc="T T T"
La 0.000 0.558 0.000
La 0.000 3.176 2.126
La 0.000 6.369 5.531
La 0.000 8.987 3.405
La 2.654 1.669 4.597
La 2.654 7.876 1.192
Dy 2.654 4.259 0.055
Dy 2.654 5.286 3.460
Zn 0.000 3.342 5.339
Zn 0.000 6.203 1.934
Zn 2.654 1.522 1.460
Zn 2.654 8.023 4.865

The winner here is run ii, beating the second structure by 17 meV/atom.

Run i
6
Lattice="3.598 0.000 0.000 0.000 3.598 0.000 0.000 0.000 13.683" Properties=species:S:1:pos:R:3 comment="LaDy4Zn, relaxed, DFT GGA-PBE" m_tot_mub_per_atom=0.0000 sg="P4/mmm (123)" pbc="T T T"
La 0.000 0.000 0.000
Dy 0.000 0.000 5.092
Dy 0.000 0.000 8.591
Dy 1.799 1.799 2.583
Dy 1.799 1.799 11.099
Zn 1.799 1.799 6.841

Run ii
12
Lattice="4.466 -6.796 0.000 4.466 6.796 0.000 -2.019 0.000 5.908" Properties=species:S:1:pos:R:3 comment="LaDy4Zn, relaxed, DFT GGA-PBE" m_tot_mub_per_atom=0.0000 sg="C2/c (15)" pbc="T T T"
La 2.952 5.412 4.431
La 3.962 -5.412 1.477
Dy 0.283 1.466 5.131
Dy 2.631 2.448 2.638
Dy 1.293 -1.466 2.177
Dy 5.293 2.448 0.316
Dy 1.621 -2.448 5.592
Dy 5.621 1.466 3.732
Dy 4.283 -2.448 3.270
Dy 6.631 -1.466 0.778
Zn 3.962 0.004 1.477
Zn 2.952 -0.004 4.431

The winner here is run i, beating the second structure by 90 meV/atom.

Run i
4
Lattice="5.041 0.000 0.000 0.000 5.041 0.000 0.000 0.000 4.891" Properties=species:S:1:pos:R:3 comment="La2DyZr, relaxed, DFT GGA-PBE" m_tot_mub_per_atom=0.0000 sg="P4/mmm (123)" pbc="T T T"
La 0.000 2.520 0.000
La 2.520 0.000 0.000
Dy 0.000 0.000 2.446
Zr 2.520 2.520 2.446

Run ii
4
Lattice="1.765 1.019 11.545 -1.765 1.019 11.545 0.000 -2.038 11.545" Properties=species:S:1:pos:R:3 comment="La2DyZr, relaxed, DFT GGA-PBE" m_tot_mub_per_atom=0.0000 sg="R3m (160)" pbc="T T T"
La 0.000 0.000 0.000
La 0.000 0.000 5.472
Dy 0.000 0.000 20.121
Zr 0.000 0.000 14.276

Run iii
4
Lattice="0.000 3.956 3.956 3.956 0.000 3.956 3.956 3.956 0.000" Properties=species:S:1:pos:R:3 comment="La2DyZr, relaxed, DFT GGA-PBE" m_tot_mub_per_atom=0.0005 sg="Fm-3m (225)" pbc="T T T"
La 1.978 1.978 1.978
La 5.935 5.935 5.935
Dy 0.000 0.000 0.000
Zr 3.956 3.956 3.956

Run iv
4
Lattice="1.714 0.989 12.223 -1.714 0.989 12.223 0.000 -1.979 12.223" Properties=species:S:1:pos:R:3 comment="La2DyZr, relaxed, DFT GGA-PBE" m_tot_mub_per_atom=0.0001 sg="R-3m (166)" pbc="T T T"
La 0.000 0.000 3.072
La 0.000 0.000 33.595
Dy 0.000 0.000 18.334
Zr 0.000 0.000 0.000

The winner here is run i, beating the second structure by 11 meV/atom.

Run i
3
Lattice="-1.704 1.704 7.689 1.704 -1.704 7.689 1.704 1.704 -7.689" Properties=species:S:1:pos:R:3 comment="LaDyZr, relaxed, DFT GGA-PBE" m_tot_mub_per_atom=0.0000 sg="I4mm (107)" pbc="T T T"
La 0.000 0.000 0.000
Dy 0.000 0.000 10.617
Zr 0.000 0.000 5.183

Run ii
3
Lattice="3.465 0.000 0.000 -1.732 3.000 0.000 0.000 0.000 8.529" Properties=species:S:1:pos:R:3 comment="LaDyZr, relaxed, DFT GGA-PBE" m_tot_mub_per_atom=0.0000 sg="P3m1 (156)" pbc="T T T"
La 0.000 0.000 0.000
Dy 0.000 2.000 5.358
Zr 1.732 1.000 2.740

Run iii
6
Lattice="3.925 0.000 0.000 0.000 3.925 0.000 0.000 0.000 11.849" Properties=species:S:1:pos:R:3 comment="LaDyZr, relaxed, DFT GGA-PBE" m_tot_mub_per_atom=0.0012 sg="P4/nmm (129)" pbc="T T T"
La 0.981 0.981 2.609
La 2.944 2.944 9.240
Dy 0.981 0.981 6.980
Dy 2.944 2.944 4.868
Zr 0.981 0.981 11.230
Zr 2.944 2.944 0.618

The winner here is run i, beating the second structure by 9 meV/atom.